Entry from the Alexandria database: a relaxed structure of Gd2MgTl (GGA-PBEsol).

```
4
Lattice="5.2997 0.0000 0.0000 2.6499 4.5897 0.0000 2.6499 1.5299 4.3272" Properties=species:S:1:pos:R:3 pbc="T T T"
Tl 5.2997 3.0598 2.1636
Mg 0.0000 0.0000 0.0000
Gd 2.6499 1.5299 1.0818
Gd 7.9496 4.5897 3.2454
```

* calculated total energy: -34.48 eV for the cell shown
* symmetry: No. 225
* calculated formation energy: -0.310 eV per atom
* DOS(E_F): 0.62 states/eV per atom


Entry from the Alexandria database: a relaxed structure of GeWF3 (GGA-PBEsol).

```
5
Lattice="4.3134 0.0000 0.0000 0.0000 4.3134 0.0000 0.0000 0.0000 4.3134" Properties=species:S:1:pos:R:3 pbc="T T T"
F 0.0000 2.1567 0.0000
F 0.0000 0.0000 2.1567
F 2.1567 0.0000 0.0000
Ge 0.0000 0.0000 0.0000
W 2.1567 2.1567 2.1567
```

* calculated total energy: -25.26 eV for the cell shown
* formation energy (no corrections): -70.9 kJ/mol of formula units
* symmetry: No. 221
* DOS(E_F): 1.09 states/eV per atom


Entry from the Alexandria database: a relaxed structure of Na2MnSbAs (GGA-PBEsol).

```
5
Lattice="-3.7514 -0.4131 3.0189 1.0315 -5.1450 0.5779 3.1644 1.0929 4.0818" Properties=species:S:1:pos:R:3 pbc="T T T"
Na 1.5822 0.5465 2.0409
Na 0.5158 -2.5725 0.2889
As 0.2223 -2.2326 3.8393
Sb -1.8757 -0.2065 1.5094
Mn 0.0000 0.0000 0.0000
```

* calculated total energy: -18.94 eV for the cell shown
* formation energy (no corrections): 316.6 kJ/mol of formula units
* symmetry: No. 123
* DOS(E_F): 0.77 states/eV per atom


Entry from the Alexandria database: a relaxed structure of Li3ZnPb (GGA-PBEsol).

```
5
Lattice="4.6902 0.0000 0.0000 0.0000 4.6902 0.0000 0.0000 0.0000 4.6902" Properties=species:S:1:pos:R:3 pbc="T T T"
Pb 2.3451 2.3451 2.3451
Li 0.0000 2.3451 0.0000
Li 0.0000 0.0000 2.3451
Li 2.3451 0.0000 0.0000
Zn 0.0000 0.0000 0.0000
```

* calculated total energy: -11.13 eV for the cell shown
* symmetry: No. 221
* calculated formation energy: 0.070 eV per atom
* DOS(E_F): 0.34 states/eV per atom


Entry from the Alexandria database: a relaxed structure of K2MnPb (GGA-PBEsol).

```
4
Lattice="3.7385 0.0000 0.0000 0.0000 6.1544 0.0000 0.0000 -3.0772 5.5327" Properties=species:S:1:pos:R:3 pbc="T T T"
Pb 1.8693 0.0000 0.0000
Mn 1.8693 3.0772 0.0000
K 0.0000 1.5386 2.7664
K 0.0000 -1.5386 2.7664
```

* calculated total energy: -13.57 eV for the cell shown
* symmetry: No. 65
* calculated formation energy: 0.613 eV per atom
* DOS(E_F): 0.66 states/eV per atom


Entry from the Alexandria database: a relaxed structure of Mn2InTe (GGA-PBEsol).

```
4
Lattice="3.7107 0.0000 0.0000 0.0000 4.0966 0.0000 0.0000 0.0000 4.7411" Properties=species:S:1:pos:R:3 pbc="T T T"
Mn 0.0000 0.0000 0.0000
Mn 0.0000 2.0483 2.3706
In 1.8554 0.0000 2.3706
Te 1.8554 2.0483 0.0000
```

* calculated total energy: -24.41 eV for the cell shown
* formation energy (no corrections): 156.1 kJ/mol of formula units
* symmetry: No. 47
* DOS(E_F): 0.60 states/eV per atom


> Look up the DOS(E_F) of the third one.

0.77 states/eV per atom


> The lowest DOS(E_F) belongs to which entry?

Li3ZnPb


Repeat the sixth record exactly.
Entry from the Alexandria database: a relaxed structure of Mn2InTe (GGA-PBEsol).

```
4
Lattice="3.7107 0.0000 0.0000 0.0000 4.0966 0.0000 0.0000 0.0000 4.7411" Properties=species:S:1:pos:R:3 pbc="T T T"
Mn 0.0000 0.0000 0.0000
Mn 0.0000 2.0483 2.3706
In 1.8554 0.0000 2.3706
Te 1.8554 2.0483 0.0000
```

* calculated total energy: -24.41 eV for the cell shown
* formation energy (no corrections): 156.1 kJ/mol of formula units
* symmetry: No. 47
* DOS(E_F): 0.60 states/eV per atom


> The lowest DOS(E_F) belongs to which entry?

Li3ZnPb